Record 1
{
  "formula": "PrNd12Dy5",
  "functional": "PBE-GGA",
  "state": "optimized geometry",
  "sg": "Cmmm, No. 65",
  "cell": [[7.724, -7.735, 0.000], [7.724, 7.735, 0.000], [0.000, 0.000, 5.159]],
  "species": ["Pr", "Nd", "Nd", "Nd", "Nd", "Nd", "Nd", "Nd", "Nd", "Nd", "Nd", "Nd", "Nd", "Dy", "Dy", "Dy", "Dy", "Dy"],
  "fractional_positions": [[0.000, 0.000, 0.000], [0.002, 0.667, 0.000], [0.167, 0.167, 0.500], [0.169, 0.502, 0.500], [0.333, 0.998, 0.000], [0.336, 0.336, 0.000], [0.498, 0.831, 0.500], [0.502, 0.169, 0.500], [0.664, 0.664, 0.000], [0.667, 0.002, 0.000], [0.831, 0.498, 0.500], [0.833, 0.833, 0.500], [0.998, 0.333, 0.000], [0.168, 0.832, 0.500], [0.333, 0.667, 0.000], [0.500, 0.500, 0.500], [0.667, 0.333, 0.000], [0.832, 0.168, 0.500]]
}

***

Record 2
{
  "formula": "PrNd2Dy6",
  "functional": "PBE-GGA",
  "state": "optimized geometry",
  "sg": "Immm, No. 71",
  "relative_energy_mev_per_atom": 0,
  "cell": [[-1.753, 5.183, 8.196], [1.753, -5.183, 8.196], [1.753, 5.183, -8.196]],
  "species": ["Pr", "Nd", "Nd", "Dy", "Dy", "Dy", "Dy", "Dy", "Dy"],
  "fractional_positions": [[0.000, 0.000, 0.000], [0.342, 0.842, 0.500], [0.658, 0.158, 0.500], [0.011, 0.178, 0.833], [0.315, 0.500, 0.815], [0.345, 0.178, 0.167], [0.655, 0.822, 0.833], [0.685, 0.500, 0.185], [0.989, 0.822, 0.167]]
}

***

Record 3
{
  "formula": "Pr4NdDy15",
  "functional": "PBE-GGA",
  "state": "optimized geometry",
  "sg": "P4/mmm, No. 123",
  "cell": [[5.081, 0.000, 0.000], [0.000, 5.081, 0.000], [0.000, 0.000, 25.266]],
  "species": ["Pr", "Pr", "Pr", "Pr", "Nd", "Dy", "Dy", "Dy", "Dy", "Dy", "Dy", "Dy", "Dy", "Dy", "Dy", "Dy", "Dy", "Dy", "Dy", "Dy"],
  "fractional_positions": [[0.000, 0.000, 0.100], [0.000, 0.000, 0.300], [0.000, 0.000, 0.700], [0.000, 0.000, 0.900], [0.000, 0.000, 0.500], [0.000, 0.500, 0.000], [0.000, 0.500, 0.200], [0.000, 0.500, 0.400], [0.000, 0.500, 0.600], [0.000, 0.500, 0.800], [0.500, 0.000, 0.000], [0.500, 0.000, 0.200], [0.500, 0.000, 0.400], [0.500, 0.000, 0.600], [0.500, 0.000, 0.800], [0.500, 0.500, 0.100], [0.500, 0.500, 0.300], [0.500, 0.500, 0.500], [0.500, 0.500, 0.700], [0.500, 0.500, 0.900]]
}

***

Record 4
{
  "formula": "PrNd4Dy",
  "functional": "PBE-GGA",
  "state": "optimized geometry",
  "sg": "Cmcm, No. 63",
  "relative_energy_mev_per_atom": 208,
  "cell": [[3.551, -6.095, 0.000], [3.551, 6.095, 0.000], [0.000, 0.000, 9.801]],
  "species": ["Pr", "Pr", "Nd", "Nd", "Nd", "Nd", "Nd", "Nd", "Nd", "Nd", "Dy", "Dy"],
  "fractional_positions": [[0.184, 0.816, 0.750], [0.816, 0.184, 0.250], [0.198, 0.360, 0.750], [0.325, 0.675, 0.074], [0.325, 0.675, 0.426], [0.360, 0.198, 0.250], [0.640, 0.802, 0.750], [0.675, 0.325, 0.574], [0.675, 0.325, 0.926], [0.802, 0.640, 0.250], [0.000, 0.000, 0.000], [0.000, 0.000, 0.500]]
}

***

Record 5
{
  "formula": "Pr3NdDy",
  "functional": "PBE-GGA",
  "state": "optimized geometry",
  "sg": "C2/m, No. 12",
  "relative_energy_mev_per_atom": 0,
  "cell": [[8.862, -3.465, 0.000], [8.862, 3.465, 0.000], [-2.107, 0.000, 5.783]],
  "species": ["Pr", "Pr", "Pr", "Pr", "Pr", "Pr", "Nd", "Nd", "Dy", "Dy"],
  "fractional_positions": [[0.080, 0.615, 0.598], [0.274, 0.274, 0.025], [0.385, 0.920, 0.402], [0.615, 0.080, 0.598], [0.726, 0.726, 0.975], [0.920, 0.385, 0.402], [0.500, 0.500, 0.000], [0.500, 0.500, 0.500], [0.051, 0.051, 0.800], [0.949, 0.949, 0.200]]
}

***

Record 6
{
  "formula": "Pr6Nd3Dy2",
  "functional": "PBE-GGA",
  "state": "optimized geometry",
  "sg": "I4/mmm, No. 139",
  "relative_energy_mev_per_atom": 257,
  "cell": [[-2.418, 2.418, 17.201], [2.418, -2.418, 17.201], [2.418, 2.418, -17.201]],
  "species": ["Pr", "Pr", "Pr", "Pr", "Pr", "Pr", "Nd", "Nd", "Nd", "Dy", "Dy"],
  "fractional_positions": [[0.119, 0.619, 0.500], [0.205, 0.205, 0.000], [0.381, 0.881, 0.500], [0.619, 0.119, 0.500], [0.795, 0.795, 0.000], [0.881, 0.381, 0.500], [0.305, 0.305, 0.000], [0.500, 0.500, 0.000], [0.695, 0.695, 0.000], [0.045, 0.045, 0.000], [0.955, 0.955, 0.000]]
}

***

The records above give, respectively, formation energy values of 0.017; 0.103; 0.020; 0.222; 0.179; 0.270 eV per atom.
The records above give, respectively, total magnetization values of 0.00; 0.00; 0.00; 0.00; 0.00; 0.00 μB/f.u..